LiEr5Zn6 | PBE | relaxed

Results
ΔE_f: -0.3039 eV/atom
Fermi-level density of states: 19.12 states/eV/cell
E: -3.002 eV/atom

Lattice parameters (Å, degrees): 4.9414 6.9531 14.8481 90.00 90.00 90.00
Space group Immm (No. 71)
Symmetry-distinct sites (fractional):
1 Li 0.0000 0.0000 0.0000 (multiplicity 2)
2 Er 0.0000 0.0000 0.3326 (multiplicity 4)
3 Er 0.0000 0.5000 0.0000 (multiplicity 2)
4 Er 0.0000 0.5000 0.3339 (multiplicity 4)
5 Zn 0.0000 0.2373 0.1598 (multiplicity 8)
6 Zn 0.0000 0.2624 0.5000 (multiplicity 4)